A plane-wave DFT calculation with PBE was carried out for a relaxed structure of Na2LiSb2O4.

Results
Its volume is 145.3 Å³/cell. The energy relative to the elements, uncorrected comes out at -1383 meV per atom.

Unit cell a=6.2085 b=6.2085 c=7.7581 alpha=98.91 beta=98.91 gamma=29.50
Fractional positions:
Na 0.1811 0.1811 0.3090
Na 0.8189 0.8189 0.6910
Li 0.0000 0.0000 0.5000
Sb 0.4124 0.4124 0.1585
Sb 0.5876 0.5876 0.8415
O 0.1616 0.1616 0.7112
O 0.4529 0.4529 0.6661
O 0.5471 0.5471 0.3339
O 0.8384 0.8384 0.2888

A plane-wave DFT calculation with PBE was carried out for a relaxed structure of La4Pr2Fe.

Results
Its volume is 243.7 Å³/cell. The formation energy is 0.247 eV/atom.

Unit cell a=10.0049 b=10.0049 c=10.0049 alpha=150.40 beta=150.40 gamma=42.35
Fractional positions:
La 0.0000 0.5000 0.5000
La 0.1529 0.1529 0.0000
La 0.5000 0.0000 0.5000
La 0.8471 0.8471 0.0000
Pr 0.3254 0.3254 0.0000
Pr 0.6746 0.6746 0.0000
Fe 0.0000 0.0000 0.0000

A plane-wave DFT calculation with PBE was carried out for a relaxed structure of Ho5HfZn6.

Results
Its volume is 258.6 Å³/cell. The formation energy is -0.293 eV/atom.

Unit cell a=8.6015 b=8.6015 c=4.9444 alpha=106.64 beta=106.64 gamma=48.11
Fractional positions:
Ho 0.0000 0.0000 0.0000
Ho 0.1635 0.1635 0.6632
Ho 0.3269 0.3269 0.3269
Ho 0.6731 0.6731 0.6731
Ho 0.8365 0.8365 0.3368
Hf 0.5000 0.5000 0.0000
Zn 0.1050 0.5763 0.8407
Zn 0.2770 0.7230 0.5000
Zn 0.4237 0.8950 0.1593
Zn 0.5763 0.1050 0.8407
Zn 0.7230 0.2770 0.5000
Zn 0.8950 0.4237 0.1593